*i*
DFT (GGA-PBE) results for ZrCdTc3 after structural relaxation.

Magnetization, μB per formula unit: 3.2
DOS at the Fermi energy, states/eV/atom: 0.99

Lattice parameters (Å, degrees): 4.8118 4.8118 4.8118 90.00 90.00 90.00
Sites, in units of the cell vectors:
1 Zr 0.0000 0.0000 0.0000
2 Cd 0.5000 0.5000 0.5000
3 Tc 0.0000 0.0000 0.5000
4 Tc 0.0000 0.5000 0.0000
5 Tc 0.5000 0.0000 0.0000

***

*ii*
DFT (GGA-PBE) results for ZrCdTc3 after structural relaxation.

Magnetization, μB per formula unit: 2.3
DOS at the Fermi energy, states/eV/atom: 1.89

Lattice parameters (Å, degrees): 4.7903 4.7903 4.7903 90.00 90.00 90.00
Sites, in units of the cell vectors:
1 Zr 0.0000 0.0000 0.0000
2 Cd 0.5000 0.5000 0.5000
3 Tc 0.0000 0.5000 0.5000
4 Tc 0.5000 0.0000 0.5000
5 Tc 0.5000 0.5000 0.0000

***

Stability ranking, top entry: *i*; the second entry is 0.330 eV/atom less favorable.

***

*i*
DFT (GGA-PBE) results for ZrCd3Tc after structural relaxation.

Magnetization, μB per formula unit: 0.9
DOS at the Fermi energy, states/eV/atom: 0.83

Lattice parameters (Å, degrees): 5.0661 5.0661 5.0661 90.00 90.00 90.00
Sites, in units of the cell vectors:
1 Zr 0.0000 0.0000 0.0000
2 Cd 0.0000 0.5000 0.5000
3 Cd 0.5000 0.0000 0.5000
4 Cd 0.5000 0.5000 0.0000
5 Tc 0.5000 0.5000 0.5000

***

*ii*
DFT (GGA-PBE) results for ZrCd3Tc after structural relaxation.

Magnetization, μB per formula unit: 1.8
DOS at the Fermi energy, states/eV/atom: 1.11

Lattice parameters (Å, degrees): 5.5012 5.5012 5.5012 90.00 90.00 90.00
Sites, in units of the cell vectors:
1 Zr 0.0000 0.0000 0.0000
2 Cd 0.0000 0.0000 0.5000
3 Cd 0.0000 0.5000 0.0000
4 Cd 0.5000 0.0000 0.0000
5 Tc 0.5000 0.5000 0.5000

***

Stability ranking, top entry: *i*; the second entry is 0.623 eV/atom less favorable.